# AcNdSc

A geometry-optimized AcNdSc structure (GGA-PBE, the Open Quantum Materials Database).

Unit cell a=5.5074 b=5.5074 c=5.5074 alpha=60.00 beta=60.00 gamma=60.00
Closest atoms and distances in Å follow each position.
Element x y z (fractional)
Ac (0.2500, 0.2500, 0.2500)  4 Sc 3.37
Nd (0.7500, 0.7500, 0.7500)  4 Sc 3.37
Sc (0.0000, 0.0000, 0.0000)  4 Nd 3.37, 4 Ac 3.37

E_tot (eV/atom): -4.452
Symmetry: F-43m, No. 216
Energy relative to the lowest polymorph listed for this composition (eV/atom): 0.0000
E_form (eV per atom): 0.61